Material: HoPuScIn
Method: DFT, PBE
State: optimized geometry

Cell: 7.5095 7.5095 7.5095 Å, 90.00 90.00 90.00°
Closest atoms and distances in Å follow each position.
Space group F-43m (No. 216)
One atom of each set of equivalent atoms:
1 Ho 0.0000 0.0000 0.0000 [4 per cell]  4 In 3.25, 4 Sc 3.25
2 Pu 0.0000 0.0000 0.5000 [4 per cell]  4 Sc 3.25, 4 In 3.25
3 Sc 0.2500 0.2500 0.7500 [4 per cell]  4 Ho 3.25, 4 Pu 3.25
4 In 0.2500 0.2500 0.2500 [4 per cell]  4 Pu 3.25, 4 Ho 3.25

Values from the calculation:
- energy of formation (eV per atom) = -0.0443